# Dy3TeHC

A geometry-optimized Dy3TeHC structure (PBE-GGA, Alexandria via LeMat-Bulk).

a = 3.7983 Å, b = 8.1433 Å, c = 8.3514 Å
α = 104.81°, β = 90.00°, γ = 90.00°
Fractional coordinates of all 12 atoms:
H  0.2500  0.0792  0.5845
H  0.7500  0.9208  0.4155
Dy  0.2500  0.1385  0.8616
Dy  0.2500  0.7805  0.4537
Dy  0.7500  0.8615  0.1384
Dy  0.2500  0.5409  0.8453
Dy  0.7500  0.4591  0.1547
Dy  0.7500  0.2195  0.5463
C  0.2500  0.6666  0.1546
C  0.7500  0.3334  0.8454
Te  0.2500  0.1805  0.2363
Te  0.7500  0.8195  0.7637

Computed properties:
density = 8.4 Mg/m³
Fermi-level density of states = 0.441 states/eV/atom
DFT total energy = -5.685 eV/atom
volume = 249.73 Å³/cell